{"formula": "SiOs2", "functional": "PBE", "state": "optimized geometry", "lattice": [[4.3942, 0.0000, 0.0000], [0.0000, 2.8736, 0.0000], [-1.2246, 0.0000, 6.4574]], "species": ["Si", "Si", "Os", "Os", "Os", "Os"], "fractional_positions": [[0.1487, 0.2500, 0.1513], [0.8513, 0.7500, 0.8487], [0.2380, 0.7500, 0.4549], [0.3256, 0.2500, 0.8271], [0.6744, 0.7500, 0.1729], [0.7620, 0.2500, 0.5451]], "raw_formation_energy_kj_per_mol_fu": -54, "magmom_total_mub_per_fu": 0.00, "volume_a3_per_atom": 13.6}

***

{"formula": "SiOs", "functional": "PBE", "state": "optimized geometry", "lattice": [[8.4906, 0.0000, 0.0000], [0.0000, 3.0014, 0.0000], [-3.6953, 0.0000, 4.3570]], "species": ["Si", "Si", "Si", "Si", "Os", "Os", "Os", "Os"], "fractional_positions": [[0.2025, 0.0000, 0.1362], [0.2975, 0.5000, 0.8638], [0.7025, 0.5000, 0.1362], [0.7975, 0.0000, 0.8638], [0.0490, 0.5000, 0.2987], [0.4510, 0.0000, 0.7013], [0.5490, 0.0000, 0.2987], [0.9510, 0.5000, 0.7013]], "raw_formation_energy_kj_per_mol_fu": -55, "magmom_total_mub_per_fu": 0.00, "volume_a3_per_atom": 13.9}

***

{"formula": "SiOs3", "functional": "PBE", "state": "optimized geometry", "lattice": [[2.8002, 0.0000, 0.0000], [0.0000, 4.7572, 0.0000], [0.0000, 0.0000, 8.5798]], "species": ["Si", "Si", "Os", "Os", "Os", "Os", "Os", "Os"], "fractional_positions": [[0.0000, 0.0000, 0.0000], [0.5000, 0.5000, 0.0000], [0.0000, 0.0000, 0.5000], [0.0000, 0.5000, 0.2279], [0.0000, 0.5000, 0.7721], [0.5000, 0.0000, 0.2279], [0.5000, 0.0000, 0.7721], [0.5000, 0.5000, 0.5000]], "raw_formation_energy_kj_per_mol_fu": 181, "magmom_total_mub_per_fu": 0.00, "volume_a3_per_atom": 14.3}

***

{"formula": "Si3Os", "functional": "PBE", "state": "optimized geometry", "lattice": [[6.0165, 0.0000, 0.0000], [0.0000, 6.0165, 0.0000], [0.0000, 0.0000, 6.0165]], "species": ["Si", "Si", "Si", "Si", "Si", "Si", "Si", "Si", "Si", "Si", "Si", "Si", "Os", "Os", "Os", "Os"], "fractional_positions": [[0.0000, 0.0000, 0.0000], [0.0000, 0.5000, 0.5000], [0.2500, 0.2500, 0.2500], [0.2500, 0.2500, 0.7500], [0.2500, 0.7500, 0.2500], [0.2500, 0.7500, 0.7500], [0.5000, 0.0000, 0.5000], [0.5000, 0.5000, 0.0000], [0.7500, 0.2500, 0.2500], [0.7500, 0.2500, 0.7500], [0.7500, 0.7500, 0.2500], [0.7500, 0.7500, 0.7500], [0.0000, 0.0000, 0.5000], [0.0000, 0.5000, 0.0000], [0.5000, 0.0000, 0.0000], [0.5000, 0.5000, 0.5000]], "raw_formation_energy_kj_per_mol_fu": 101, "magmom_total_mub_per_fu": 0.00, "volume_a3_per_atom": 13.6}

***

{"formula": "SiOs", "functional": "PBE", "state": "optimized geometry", "lattice": [[2.8361, 0.0000, 0.0000], [-1.4180, 2.4561, 0.0000], [0.0000, 0.0000, 11.5997]], "species": ["Si", "Si", "Si", "Os", "Os", "Os"], "fractional_positions": [[0.0000, 0.0000, 0.0000], [0.3333, 0.6667, 0.6667], [0.6667, 0.3333, 0.3333], [0.0000, 0.0000, 0.5000], [0.3333, 0.6667, 0.1667], [0.6667, 0.3333, 0.8333]], "raw_formation_energy_kj_per_mol_fu": -30, "magmom_total_mub_per_fu": 0.00, "volume_a3_per_atom": 13.5}

***

{"formula": "SiOs", "functional": "PBE", "state": "optimized geometry", "lattice": [[8.5054, 0.0000, 0.0000], [0.0000, 3.0109, 0.0000], [-1.2106, 0.0000, 6.4035]], "species": ["Si", "Si", "Si", "Si", "Si", "Si", "Os", "Os", "Os", "Os", "Os", "Os"], "fractional_positions": [[0.0000, 0.0000, 0.0000], [0.0959, 0.0000, 0.6063], [0.2719, 0.5000, 0.3921], [0.5000, 0.5000, 0.0000], [0.5959, 0.5000, 0.6063], [0.7719, 0.0000, 0.3921], [0.2152, 0.5000, 0.9943], [0.3839, 0.0000, 0.6975], [0.4824, 0.0000, 0.2981], [0.7152, 0.0000, 0.9943], [0.8839, 0.5000, 0.6975], [0.9824, 0.5000, 0.2981]], "raw_formation_energy_kj_per_mol_fu": -51, "magmom_total_mub_per_fu": 0.00, "volume_a3_per_atom": 13.7}

***

{"formula": "Si3Os", "functional": "PBE", "state": "optimized geometry", "lattice": [[4.6647, 0.0000, 0.0000], [0.0000, 4.6647, 0.0000], [0.0000, 0.0000, 4.6647]], "species": ["Si", "Si", "Si", "Os"], "fractional_positions": [[0.0000, 0.0000, 0.5000], [0.0000, 0.5000, 0.0000], [0.5000, 0.0000, 0.0000], [0.0000, 0.0000, 0.0000]], "raw_formation_energy_kj_per_mol_fu": 278, "magmom_total_mub_per_fu": 1.64, "volume_a3_per_atom": 25.4}

***

{"formula": "SiOs2", "functional": "PBE", "state": "optimized geometry", "lattice": [[2.7888, 0.0000, 0.0000], [0.0000, 13.2703, 0.0000], [0.0000, 0.0000, 4.5494]], "species": ["Si", "Si", "Si", "Si", "Os", "Os", "Os", "Os", "Os", "Os", "Os", "Os"], "fractional_positions": [[0.0000, 0.1253, 0.2500], [0.0000, 0.8747, 0.7500], [0.5000, 0.3747, 0.7500], [0.5000, 0.6253, 0.2500], [0.0000, 0.2102, 0.7500], [0.0000, 0.4620, 0.2500], [0.0000, 0.5380, 0.7500], [0.0000, 0.7898, 0.2500], [0.5000, 0.0380, 0.7500], [0.5000, 0.2898, 0.2500], [0.5000, 0.7102, 0.7500], [0.5000, 0.9620, 0.2500]], "raw_formation_energy_kj_per_mol_fu": 32, "magmom_total_mub_per_fu": 0.00, "volume_a3_per_atom": 14.0}

***

{"formula": "SiOs2", "functional": "PBE", "state": "optimized geometry", "lattice": [[13.3748, 0.0000, 0.0000], [0.0000, 2.8385, 0.0000], [-1.2724, 0.0000, 4.3629]], "species": ["Si", "Si", "Si", "Si", "Os", "Os", "Os", "Os", "Os", "Os", "Os", "Os"], "fractional_positions": [[0.0922, 0.0000, 0.2811], [0.4078, 0.5000, 0.7189], [0.5922, 0.5000, 0.2811], [0.9078, 0.0000, 0.7189], [0.0708, 0.5000, 0.8176], [0.2312, 0.0000, 0.7457], [0.2688, 0.5000, 0.2543], [0.4292, 0.0000, 0.1824], [0.5708, 0.0000, 0.8176], [0.7312, 0.5000, 0.7457], [0.7688, 0.0000, 0.2543], [0.9292, 0.5000, 0.1824]], "raw_formation_energy_kj_per_mol_fu": -36, "magmom_total_mub_per_fu": 0.00, "volume_a3_per_atom": 13.8}

***

{"formula": "SiOs", "functional": "PBE", "state": "optimized geometry", "lattice": [[2.8489, 0.0000, 0.0000], [0.0000, 4.7853, 0.0000], [0.0000, 0.0000, 8.3314]], "species": ["Si", "Si", "Si", "Si", "Os", "Os", "Os", "Os"], "fractional_positions": [[0.0000, 0.2500, 0.1252], [0.0000, 0.7500, 0.8748], [0.5000, 0.2500, 0.8748], [0.5000, 0.7500, 0.1252], [0.0000, 0.2500, 0.6409], [0.0000, 0.7500, 0.3591], [0.5000, 0.2500, 0.3591], [0.5000, 0.7500, 0.6409]], "raw_formation_energy_kj_per_mol_fu": 76, "magmom_total_mub_per_fu": 0.00, "volume_a3_per_atom": 14.2}

***

{"formula": "Si23Os", "functional": "PBE", "state": "optimized geometry", "lattice": [[10.1712, 0.0000, 0.0000], [0.0000, 10.1712, 0.0000], [0.0000, 0.0000, 10.1712]], "species": ["Si", "Si", "Si", "Si", "Si", "Si", "Si", "Si", "Si", "Si", "Si", "Si", "Si", "Si", "Si", "Si", "Si", "Si", "Si", "Si", "Si", "Si", "Si", "Si", "Si", "Si", "Si", "Si", "Si", "Si", "Si", "Si", "Si", "Si", "Si", "Si", "Si", "Si", "Si", "Si", "Si", "Si", "Si", "Si", "Si", "Si", "Os", "Os"], "fractional_positions": [[0.0000, 0.1161, 0.3086], [0.0000, 0.1161, 0.6914], [0.0000, 0.2500, 0.5000], [0.0000, 0.7500, 0.5000], [0.0000, 0.8839, 0.3086], [0.0000, 0.8839, 0.6914], [0.1161, 0.3086, 0.0000], [0.1161, 0.6914, 0.0000], [0.1803, 0.1803, 0.1803], [0.1803, 0.1803, 0.8197], [0.1803, 0.8197, 0.1803], [0.1803, 0.8197, 0.8197], [0.1914, 0.3839, 0.5000], [0.1914, 0.6161, 0.5000], [0.2500, 0.5000, 0.0000], [0.3086, 0.0000, 0.1161], [0.3086, 0.0000, 0.8839], [0.3197, 0.3197, 0.3197], [0.3197, 0.3197, 0.6803], [0.3197, 0.6803, 0.3197], [0.3197, 0.6803, 0.6803], [0.3839, 0.5000, 0.1914], [0.3839, 0.5000, 0.8086], [0.5000, 0.0000, 0.2500], [0.5000, 0.0000, 0.7500], [0.5000, 0.1914, 0.3839], [0.5000, 0.1914, 0.6161], [0.5000, 0.8086, 0.3839], [0.5000, 0.8086, 0.6161], [0.6161, 0.5000, 0.1914], [0.6161, 0.5000, 0.8086], [0.6803, 0.3197, 0.3197], [0.6803, 0.3197, 0.6803], [0.6803, 0.6803, 0.3197], [0.6803, 0.6803, 0.6803], [0.6914, 0.0000, 0.1161], [0.6914, 0.0000, 0.8839], [0.7500, 0.5000, 0.0000], [0.8086, 0.3839, 0.5000], [0.8086, 0.6161, 0.5000], [0.8197, 0.1803, 0.1803], [0.8197, 0.1803, 0.8197], [0.8197, 0.8197, 0.1803], [0.8197, 0.8197, 0.8197], [0.8839, 0.3086, 0.0000], [0.8839, 0.6914, 0.0000], [0.0000, 0.0000, 0.0000], [0.5000, 0.5000, 0.5000]], "raw_formation_energy_kj_per_mol_fu": 653, "magmom_total_mub_per_fu": 2.74, "volume_a3_per_atom": 21.9}

***

{"formula": "Si3Os", "functional": "PBE", "state": "optimized geometry", "lattice": [[3.7795, 0.0000, 0.0000], [0.0000, 3.7795, 0.0000], [0.0000, 0.0000, 3.7795]], "species": ["Si", "Si", "Si", "Os"], "fractional_positions": [[0.0000, 0.0000, 0.5000], [0.0000, 0.5000, 0.0000], [0.5000, 0.0000, 0.0000], [0.5000, 0.5000, 0.5000]], "raw_formation_energy_kj_per_mol_fu": 162, "magmom_total_mub_per_fu": 0.00, "volume_a3_per_atom": 13.5}

***

{"formula": "Si4Os3", "functional": "PBE", "state": "optimized geometry", "lattice": [[3.1715, 0.0000, 0.0000], [0.0000, 3.1715, 0.0000], [0.0000, 0.0000, 18.9783]], "species": ["Si", "Si", "Si", "Si", "Si", "Si", "Si", "Si", "Os", "Os", "Os", "Os", "Os", "Os"], "fractional_positions": [[0.0000, 0.0000, 0.0678], [0.0000, 0.0000, 0.3568], [0.0000, 0.0000, 0.6432], [0.0000, 0.0000, 0.9322], [0.5000, 0.5000, 0.1432], [0.5000, 0.5000, 0.4322], [0.5000, 0.5000, 0.5678], [0.5000, 0.5000, 0.8568], [0.0000, 0.0000, 0.1931], [0.0000, 0.0000, 0.5000], [0.0000, 0.0000, 0.8069], [0.5000, 0.5000, 0.0000], [0.5000, 0.5000, 0.3069], [0.5000, 0.5000, 0.6931]], "raw_formation_energy_kj_per_mol_fu": -96, "magmom_total_mub_per_fu": 0.57, "volume_a3_per_atom": 13.6, "polymorph_energy_ev_per_atom": 0.000}

***

{"formula": "Si5Os3", "functional": "PBE", "state": "optimized geometry", "lattice": [[7.4183, 0.0000, 0.0000], [-3.7092, 6.4245, 0.0000], [0.0000, 0.0000, 4.7507]], "species": ["Si", "Si", "Si", "Si", "Si", "Si", "Si", "Si", "Si", "Si", "Os", "Os", "Os", "Os", "Os", "Os"], "fractional_positions": [[0.0000, 0.2586, 0.2500], [0.0000, 0.7414, 0.7500], [0.2586, 0.0000, 0.2500], [0.2586, 0.2586, 0.7500], [0.3333, 0.6667, 0.0000], [0.3333, 0.6667, 0.5000], [0.6667, 0.3333, 0.0000], [0.6667, 0.3333, 0.5000], [0.7414, 0.0000, 0.7500], [0.7414, 0.7414, 0.2500], [0.0000, 0.3757, 0.7500], [0.0000, 0.6243, 0.2500], [0.3757, 0.0000, 0.7500], [0.3757, 0.3757, 0.2500], [0.6243, 0.0000, 0.2500], [0.6243, 0.6243, 0.7500]], "raw_formation_energy_kj_per_mol_fu": 54, "magmom_total_mub_per_fu": 0.00, "volume_a3_per_atom": 14.2, "polymorph_energy_ev_per_atom": 0.213}

***

{"formula": "SiOs3", "functional": "PBE", "state": "optimized geometry", "lattice": [[2.8448, 0.0000, 0.0000], [0.0000, 2.8448, 0.0000], [0.0000, 0.0000, 6.7308]], "species": ["Si", "Os", "Os", "Os"], "fractional_positions": [[0.0000, 0.0000, 0.0000], [0.0000, 0.0000, 0.5000], [0.5000, 0.5000, 0.2211], [0.5000, 0.5000, 0.7789]], "raw_formation_energy_kj_per_mol_fu": -23, "magmom_total_mub_per_fu": 0.00, "volume_a3_per_atom": 13.6}

***

{"formula": "Si3Os", "functional": "PBE", "state": "optimized geometry", "lattice": [[3.5423, 0.0000, 0.0000], [0.0000, 3.5423, 0.0000], [0.0000, 0.0000, 18.9444]], "species": ["Si", "Si", "Si", "Si", "Si", "Si", "Si", "Si", "Si", "Si", "Si", "Si", "Os", "Os", "Os", "Os"], "fractional_positions": [[0.0000, 0.0000, 0.1129], [0.0000, 0.0000, 0.8871], [0.0000, 0.5000, 0.0000], [0.0000, 0.5000, 0.2500], [0.0000, 0.5000, 0.5000], [0.0000, 0.5000, 0.7500], [0.5000, 0.0000, 0.0000], [0.5000, 0.0000, 0.2500], [0.5000, 0.0000, 0.5000], [0.5000, 0.0000, 0.7500], [0.5000, 0.5000, 0.3871], [0.5000, 0.5000, 0.6129], [0.0000, 0.0000, 0.3360], [0.0000, 0.0000, 0.6640], [0.5000, 0.5000, 0.1640], [0.5000, 0.5000, 0.8360]], "raw_formation_energy_kj_per_mol_fu": 75, "magmom_total_mub_per_fu": 0.00, "volume_a3_per_atom": 14.9}

***

{"formula": "SiOs", "functional": "PBE", "state": "optimized geometry", "lattice": [[2.9121, 0.0000, 0.0000], [0.0000, 4.2865, 0.0000], [0.0000, 0.0000, 4.3238]], "species": ["Si", "Si", "Os", "Os"], "fractional_positions": [[0.2500, 0.2500, 0.0923], [0.7500, 0.7500, 0.9077], [0.2500, 0.7500, 0.3721], [0.7500, 0.2500, 0.6279]], "raw_formation_energy_kj_per_mol_fu": -50, "magmom_total_mub_per_fu": 0.00, "volume_a3_per_atom": 13.5}

***

{"formula": "SiOs", "functional": "PBE", "state": "optimized geometry", "lattice": [[2.8918, 0.0000, 0.0000], [0.0000, 4.0312, 0.0000], [0.0000, 0.0000, 9.3001]], "species": ["Si", "Si", "Si", "Si", "Os", "Os", "Os", "Os"], "fractional_positions": [[0.0000, 0.2500, 0.1170], [0.0000, 0.7500, 0.8830], [0.5000, 0.2500, 0.3830], [0.5000, 0.7500, 0.6170], [0.0000, 0.2500, 0.6132], [0.0000, 0.7500, 0.3869], [0.5000, 0.2500, 0.8868], [0.5000, 0.7500, 0.1132]], "raw_formation_energy_kj_per_mol_fu": -10, "magmom_total_mub_per_fu": 0.00, "volume_a3_per_atom": 13.6}

***

{"formula": "SiOs2", "functional": "PBE", "state": "optimized geometry", "lattice": [[6.1276, 0.0000, 0.0000], [-3.0638, 5.3067, 0.0000], [0.0000, 0.0000, 3.8604]], "species": ["Si", "Si", "Si", "Os", "Os", "Os", "Os", "Os", "Os"], "fractional_positions": [[0.0000, 0.0000, 0.0000], [0.3333, 0.6667, 0.5000], [0.6667, 0.3333, 0.5000], [0.0000, 0.2598, 0.5000], [0.0000, 0.5994, 0.0000], [0.2598, 0.0000, 0.5000], [0.4006, 0.4006, 0.0000], [0.5994, 0.0000, 0.0000], [0.7402, 0.7402, 0.5000]], "raw_formation_energy_kj_per_mol_fu": 2, "magmom_total_mub_per_fu": 0.00, "volume_a3_per_atom": 13.9}

***

{"formula": "SiOs", "functional": "PBE", "state": "optimized geometry", "lattice": [[8.2387, 0.0000, 0.0000], [0.0000, 8.2387, 0.0000], [0.0000, 0.0000, 3.9217]], "species": ["Si", "Si", "Si", "Si", "Si", "Si", "Si", "Si", "Os", "Os", "Os", "Os", "Os", "Os", "Os", "Os"], "fractional_positions": [[0.1030, 0.8032, 0.0000], [0.1968, 0.1030, 0.0000], [0.3032, 0.3970, 0.5000], [0.3970, 0.6968, 0.5000], [0.6030, 0.3032, 0.5000], [0.6968, 0.6030, 0.5000], [0.8032, 0.8970, 0.0000], [0.8970, 0.1968, 0.0000], [0.1154, 0.3830, 0.0000], [0.1170, 0.6154, 0.5000], [0.3830, 0.8846, 0.0000], [0.3846, 0.1170, 0.5000], [0.6154, 0.8830, 0.5000], [0.6170, 0.1154, 0.0000], [0.8830, 0.3846, 0.5000], [0.8846, 0.6170, 0.0000]], "raw_formation_energy_kj_per_mol_fu": 40, "magmom_total_mub_per_fu": 0.00, "volume_a3_per_atom": 16.6}

***

| no. | total DFT energy (no corrections) (eV per atom) |
| --- | --- |
| 1 | -9.480 |
| 2 | -8.613 |
| 3 | -9.310 |
| 4 | -6.613 |
| 5 | -8.484 |
| 6 | -8.589 |
| 7 | -6.154 |
| 8 | -9.185 |
| 9 | -9.419 |
| 10 | -7.933 |
| 11 | -5.383 |
| 12 | -6.454 |
| 13 | -8.053 |
| 14 | -7.531 |
| 15 | -9.839 |
| 16 | -6.681 |
| 17 | -8.585 |
| 18 | -8.378 |
| 19 | -9.287 |
| 20 | -8.117 |